1.
Cs2InOs | the Alexandria database | GGA-PBE | optimized geometry; E_form = 1.47 eV/atom
1.0
0.000 4.256 4.256
4.256 0.000 4.256
4.256 4.256 0.000
Cs In Os
2 1 1
direct
0.750 0.750 0.750
0.250 0.250 0.250
0.000 0.000 0.000
0.500 0.500 0.500


2.
CsInPOs | the Alexandria database | GGA-PBE | optimized geometry; E_form = -0.23 eV/atom
1.0
4.099 0.000 0.000
0.000 4.099 0.000
0.000 0.000 14.323
P Cs In Os
2 2 2 2
direct
0.250 0.250 0.082
0.750 0.750 0.918
0.250 0.250 0.767
0.750 0.750 0.233
0.750 0.250 0.500
0.250 0.750 0.500
0.250 0.750 0.000
0.750 0.250 0.000


3.
CsInOsPb2 | the Alexandria database | GGA-PBE | optimized geometry; E_form = 2.45 eV/atom
1.0
-4.348 4.742 0.056
-2.716 -2.433 -4.890
-3.780 -3.511 3.845
Os Pb In Cs
1 2 1 1
direct
0.500 0.500 0.500
0.000 0.000 0.500
0.500 0.000 0.000
0.000 0.500 0.000
0.000 0.000 0.000


4.
CsTlIn2Os | the Alexandria database | GGA-PBE | optimized geometry; E_form = 0.06 eV/atom
1.0
-1.538 -4.683 1.998
3.875 -2.430 -2.713
3.366 0.685 4.195
Cs In Os Tl
1 2 1 1
direct
0.500 0.500 0.500
0.500 0.000 0.000
0.000 0.500 0.000
0.000 0.000 0.000
0.000 0.000 0.500


5.
Cs2InP | the Alexandria database | GGA-PBE | optimized geometry; E_form = 0.43 eV/atom
1.0
-7.881 -5.445 8.147
-12.072 -2.232 2.722
10.117 0.632 -7.442
Cs In P
4 2 2
direct
0.875 0.866 0.491
0.375 0.384 0.509
0.616 0.125 0.991
0.134 0.625 0.009
0.000 0.000 0.000
0.750 0.250 0.500
0.500 0.500 0.000
0.250 0.750 0.500


6.
CsIn3P | the Alexandria database | GGA-PBE | optimized geometry; E_form = 1.44 eV/atom
1.0
-5.033 1.610 -3.648
-1.434 -6.212 -0.764
-3.721 0.216 5.229
In P Cs
3 1 1
direct
0.000 0.000 0.500
0.500 0.000 0.000
0.000 0.500 0.000
0.500 0.500 0.500
0.000 0.000 0.000


7.
Cs2InP | the Alexandria database | GGA-PBE | optimized geometry; E_form = 0.19 eV/atom
1.0
0.000 4.303 4.303
4.303 0.000 4.303
4.303 4.303 0.000
Cs P In
2 1 1
direct
0.250 0.250 0.250
0.750 0.750 0.750
0.000 0.000 0.000
0.500 0.500 0.500


8.
Cs2InP2 | the Alexandria database | GGA-PBE | optimized geometry; E_form = -0.24 eV/atom
1.0
6.336 0.000 2.704
1.744 7.360 4.688
-0.027 1.039 8.838
Cs In P
4 2 4
direct
0.649 0.690 0.013
0.149 0.013 0.690
0.351 0.310 0.987
0.851 0.987 0.310
0.750 0.500 0.500
0.250 0.500 0.500
0.596 0.224 0.583
0.904 0.417 0.776
0.096 0.583 0.224
0.404 0.776 0.417


9.
Cs2In2P | the Alexandria database | GGA-PBE | optimized geometry; E_form = -0.14 eV/atom
1.0
-1.578 3.837 6.438
4.936 -6.723 0.661
4.578 5.222 -1.990
Cs P In
4 2 4
direct
0.406 0.701 0.367
0.594 0.299 0.633
0.295 0.701 0.867
0.705 0.299 0.133
0.800 0.000 0.750
0.200 0.000 0.250
0.156 0.203 0.973
0.953 0.797 0.527
0.047 0.203 0.473
0.844 0.797 0.027


10.
CsIn2P2 | the Alexandria database | GGA-PBE | optimized geometry; E_form = -0.22 eV/atom
1.0
4.696 0.000 0.000
0.000 4.696 0.000
2.348 2.348 7.199
Cs P In
1 2 2
direct
0.000 0.000 0.000
0.654 0.654 0.691
0.346 0.346 0.309
0.250 0.750 0.500
0.750 0.250 0.500


11.
CsIn2P | the Alexandria database | GGA-PBE | optimized geometry; E_form = -0.01 eV/atom
1.0
-1.811 -8.678 0.037
1.661 -0.384 -8.700
3.342 -5.241 -3.648
Cs In P
2 4 2
direct
0.000 0.000 0.000
0.750 0.250 0.500
0.214 0.625 0.250
0.536 0.125 0.250
0.875 0.786 0.750
0.375 0.464 0.750
0.250 0.750 0.500
0.500 0.500 0.000


12.
Cs3InP | the Alexandria database | GGA-PBE | optimized geometry; E_form = 0.54 eV/atom
1.0
-1.224 -4.720 -5.217
5.586 2.567 -3.634
4.277 -4.704 3.252
Cs In P
3 1 1
direct
0.000 0.000 0.500
0.000 0.500 0.000
0.500 0.000 0.000
0.000 0.000 0.000
0.500 0.500 0.500


13.
CsIn3P | the Alexandria database | GGA-PBE | optimized geometry; E_form = 0.23 eV/atom
1.0
5.592 0.000 0.000
0.000 5.592 0.000
0.000 0.000 5.592
Cs In P
1 3 1
direct
0.500 0.500 0.500
0.000 0.000 0.500
0.000 0.500 0.000
0.500 0.000 0.000
0.000 0.000 0.000


14.
Cs2InP | the Alexandria database | GGA-PBE | optimized geometry; E_form = -0.25 eV/atom
1.0
4.263 0.000 0.000
0.000 5.391 -2.043
0.000 -0.216 7.563
P Cs In
1 2 1
direct
0.000 0.692 0.383
0.500 0.268 0.535
0.000 0.961 0.922
0.500 0.579 0.158


15.
CsInP2 | the Alexandria database | GGA-PBE | optimized geometry; E_form = 0.08 eV/atom
1.0
5.459 0.000 0.000
0.000 5.459 0.000
2.729 2.729 8.910
P Cs In
4 2 2
direct
0.375 0.625 0.250
0.375 0.625 0.750
0.375 0.125 0.250
0.875 0.625 0.750
0.000 0.000 0.000
0.750 0.250 0.500
0.250 0.750 0.500
0.500 0.500 0.000


16.
CsIn2P | the Alexandria database | GGA-PBE | optimized geometry; E_form = -0.09 eV/atom
1.0
4.247 0.000 0.000
2.124 3.678 0.000
2.124 1.226 8.973
P Cs In
1 1 2
direct
0.000 0.000 0.000
0.500 0.500 0.500
0.719 0.719 0.843
0.281 0.281 0.157


17.
CsIn2P2 | the Alexandria database | GGA-PBE | optimized geometry; E_form = -0.02 eV/atom
1.0
9.297 0.000 0.000
0.000 9.297 0.000
0.000 0.000 3.840
In Cs P
4 2 4
direct
0.644 0.856 0.500
0.356 0.144 0.500
0.856 0.356 0.500
0.144 0.644 0.500
0.000 0.000 0.000
0.500 0.500 0.000
0.083 0.417 0.000
0.417 0.917 0.000
0.917 0.583 0.000
0.583 0.083 0.000


18.
CsIn2P | the Alexandria database | GGA-PBE | optimized geometry; E_form = 0.00 eV/atom
1.0
-1.662 2.433 2.243
-3.295 -1.452 -0.866
0.747 -5.744 6.784
In Cs P
2 1 1
direct
0.000 0.000 0.170
0.000 0.000 0.830
0.500 0.500 0.500
0.500 0.500 0.000


19.
Cs2InP2 | the Alexandria database | GGA-PBE | optimized geometry; E_form = -0.14 eV/atom
1.0
7.552 0.000 0.000
0.000 7.552 0.000
0.000 0.000 5.909
P In Cs
4 2 4
direct
0.900 0.600 0.000
0.100 0.400 0.000
0.400 0.900 0.000
0.600 0.100 0.000
0.500 0.500 0.000
0.000 0.000 0.000
0.184 0.684 0.500
0.816 0.316 0.500
0.684 0.816 0.500
0.316 0.184 0.500


20.
Cs2RbInP2 | the Alexandria database | GGA-PBE | optimized geometry; E_form = -0.35 eV/atom
1.0
8.037 0.000 0.000
0.000 7.070 0.000
-4.019 -3.535 7.990
In Cs P Rb
2 4 4 2
direct
0.500 0.250 0.000
0.500 0.750 0.000
0.106 0.321 0.642
0.465 0.179 0.358
0.894 0.679 0.358
0.535 0.821 0.642
0.407 0.588 0.176
0.593 0.412 0.824
0.769 0.088 0.176
0.231 0.912 0.824
0.000 0.750 0.000
0.000 0.250 0.000


21.
CsRb2InP2 | the Alexandria database | GGA-PBE | optimized geometry; E_form = -0.32 eV/atom
1.0
-1.275 -4.765 -5.161
8.163 0.200 -2.202
-2.029 -3.233 8.424
Cs Rb P In
2 4 4 2
direct
0.250 0.000 0.000
0.750 0.000 0.000
0.685 0.873 0.370
0.185 0.496 0.370
0.815 0.504 0.630
0.315 0.127 0.630
0.408 0.581 0.815
0.092 0.766 0.185
0.908 0.234 0.815
0.592 0.419 0.185
0.750 0.500 0.000
0.250 0.500 0.000


22.
CsInPRh | the Alexandria database | GGA-PBE | optimized geometry; E_form = -0.44 eV/atom
1.0
-3.200 -2.081 1.480
0.014 -2.387 -3.326
8.832 -8.973 6.479
Rh In Cs P
2 2 2 2
direct
0.750 0.250 0.000
0.250 0.750 0.000
0.250 0.750 0.500
0.750 0.250 0.500
0.250 0.250 0.762
0.750 0.750 0.238
0.250 0.250 0.084
0.750 0.750 0.916


23.
CsInP2S8 | the Alexandria database | GGA-PBE | optimized geometry; formation energy (no corrections) = -0.286 eV per atom
1.0
6.150 0.000 0.000
3.075 5.326 0.000
3.075 1.775 9.977
S Cs P In
8 1 2 1
direct
0.948 0.587 0.150
0.587 0.315 0.150
0.315 0.948 0.150
0.685 0.052 0.850
0.804 0.804 0.587
0.052 0.413 0.850
0.196 0.196 0.413
0.413 0.685 0.850
0.500 0.500 0.500
0.263 0.263 0.212
0.737 0.737 0.788
0.000 0.000 0.000


24.
CsInPS2 | the Alexandria database | GGA-PBE | optimized geometry; formation energy (no corrections) = 0.070 eV per atom
1.0
5.288 0.000 0.000
0.000 5.288 0.000
0.000 0.000 5.269
Cs S In P
1 2 1 1
direct
0.500 0.500 0.500
0.500 0.000 0.000
0.000 0.500 0.000
0.000 0.000 0.000
0.000 0.000 0.500


25.
CsInPS2 | the Alexandria database | GGA-PBE | optimized geometry; formation energy (no corrections) = 1.180 eV per atom
1.0
5.937 0.000 0.000
0.000 5.937 0.000
0.000 0.000 5.899
S In P Cs
2 1 1 1
direct
0.500 0.000 0.000
0.000 0.500 0.000
0.500 0.500 0.500
0.000 0.000 0.500
0.000 0.000 0.000